Run 1
{
  "formula": "Hf3GaSb",
  "functional": "PBE-GGA",
  "state": "relaxed",
  "cell": [[-5.5435, 4.9406, -2.9876], [-6.1524, -0.1093, -5.1187], [-7.9465, -1.7371, 6.3867]],
  "species": ["Sb", "Sb", "Sb", "Sb", "Ga", "Ga", "Ga", "Ga", "Hf", "Hf", "Hf", "Hf", "Hf", "Hf", "Hf", "Hf", "Hf", "Hf", "Hf", "Hf"],
  "frac_coords": [[0.6080, 0.1105, 0.5211], [0.1105, 0.6080, 0.0211], [0.8895, 0.3920, 0.9789], [0.3920, 0.8895, 0.4789], [0.5224, 0.4776, 0.2500], [0.4776, 0.5224, 0.7500], [0.5000, 0.0000, 0.0000], [0.0000, 0.5000, 0.5000], [0.7363, 0.6666, 0.2282], [0.0729, 0.1270, 0.7279], [0.8730, 0.9271, 0.7721], [0.2637, 0.3334, 0.7718], [0.3334, 0.2637, 0.2718], [0.8083, 0.3113, 0.4848], [0.1917, 0.6887, 0.5152], [0.9271, 0.8730, 0.2721], [0.6887, 0.1917, 0.0152], [0.6666, 0.7363, 0.7282], [0.1270, 0.0729, 0.2279], [0.3113, 0.8083, 0.9848]],
  "dos_ef_per_ev_cell": 9.08
}

Run 2
{
  "formula": "Hf3GaSb",
  "functional": "PBE-GGA",
  "state": "relaxed",
  "cell": [[-4.6589, 0.0894, -1.6688], [-0.7081, -4.5825, 1.7313], [-1.5138, 1.8683, 4.3262]],
  "species": ["Sb", "Hf", "Hf", "Hf", "Ga"],
  "frac_coords": [[0.5000, 0.5000, 0.5000], [0.5000, 0.0000, 0.0000], [0.0000, 0.5000, 0.0000], [0.0000, 0.0000, 0.5000], [0.0000, 0.0000, 0.0000]],
  "dos_ef_per_ev_cell": 4.87
}

The relative energies come out as run 1 0; run 2 706, with values in meV/atom.

Run 1
{
  "formula": "HfGaSbTe2",
  "functional": "PBE-GGA",
  "state": "relaxed",
  "cell": [[5.2782, 0.0000, 0.0000], [0.0000, 5.2782, 0.0000], [0.0000, 0.0000, 5.1447]],
  "species": ["Te", "Te", "Ga", "Hf", "Sb"],
  "frac_coords": [[0.5000, 0.0000, 0.0000], [0.0000, 0.5000, 0.0000], [0.0000, 0.0000, 0.0000], [0.5000, 0.5000, 0.5000], [0.0000, 0.0000, 0.5000]],
  "dos_ef_per_ev_cell": 3.17
}

Run 2
{
  "formula": "HfGaSbTe2",
  "functional": "PBE-GGA",
  "state": "relaxed",
  "cell": [[5.5789, 0.0000, 0.0000], [0.0000, 5.5789, 0.0000], [0.0000, 0.0000, 5.5731]],
  "species": ["Hf", "Sb", "Ga", "Te", "Te"],
  "frac_coords": [[0.0000, 0.0000, 0.0000], [0.0000, 0.0000, 0.5000], [0.5000, 0.5000, 0.5000], [0.0000, 0.5000, 0.0000], [0.5000, 0.0000, 0.0000]],
  "dos_ef_per_ev_cell": 4.04
}

The relative energies come out as run 1 612; run 2 0, with values in meV/atom.

Run 1
{
  "formula": "Hf2Sc2Ga",
  "functional": "PBE-GGA",
  "state": "relaxed",
  "cell": [[7.2087, 0.0000, 0.0000], [0.0000, 7.2087, 0.0000], [0.0000, 0.0000, 4.2799]],
  "species": ["Ga", "Ga", "Hf", "Hf", "Hf", "Hf", "Sc", "Sc", "Sc", "Sc"],
  "frac_coords": [[0.0000, 0.0000, 0.0000], [0.5000, 0.5000, 0.0000], [0.1477, 0.6477, 0.5000], [0.6477, 0.8523, 0.5000], [0.3523, 0.1477, 0.5000], [0.8523, 0.3523, 0.5000], [0.1477, 0.3523, 0.0000], [0.6477, 0.1477, 0.0000], [0.3523, 0.8523, 0.0000], [0.8523, 0.6477, 0.0000]],
  "dos_ef_per_ev_cell": 8.03
}

Run 2
{
  "formula": "Hf2Sc2Ga",
  "functional": "PBE-GGA",
  "state": "relaxed",
  "cell": [[7.2038, 0.0000, 0.0000], [0.0000, 7.2038, 0.0000], [0.0000, 0.0000, 4.4011]],
  "species": ["Sc", "Sc", "Sc", "Sc", "Hf", "Hf", "Hf", "Hf", "Ga", "Ga"],
  "frac_coords": [[0.6527, 0.8473, 0.5000], [0.1527, 0.6527, 0.5000], [0.3473, 0.1527, 0.5000], [0.8473, 0.3473, 0.5000], [0.1440, 0.3560, 0.0000], [0.8560, 0.6440, 0.0000], [0.6440, 0.1440, 0.0000], [0.3560, 0.8560, 0.0000], [0.0000, 0.0000, 0.0000], [0.5000, 0.5000, 0.0000]],
  "dos_ef_per_ev_cell": 10.13
}

The relative energies come out as run 1 61; run 2 0, with values in meV/atom.